# LaNdCo2O6, optimized geometry, DFT PBE+U
# * uncorrected energy: -7.1715 eV/atom
# * DOS at the Fermi energy: 1.9 states/eV/cell
data_LaNdCo2O6
_symmetry_space_group_name_H-M 'P m c 21'
_symmetry_Int_Tables_number 26
_cell_length_a 7.776
_cell_length_b 5.453
_cell_length_c 5.521
_cell_angle_alpha 90.00
_cell_angle_beta 90.00
_cell_angle_gamma 90.00
loop_
_symmetry_equiv_pos_as_xyz
'x,y,z'
'-x,-y,z+1/2'
'-x,y,z'
'x,-y,z+1/2'
loop_
_atom_site_label
_atom_site_type_symbol
_atom_site_fract_x
_atom_site_fract_y
_atom_site_fract_z
_atom_site_occupancy
La1 La 0.000 0.243 0.000 1
Nd1 Nd 0.500 0.260 0.073 1
Co1 Co 0.252 0.249 0.532 1
O1 O 0.000 0.319 0.544 1
O2 O 0.214 0.034 0.245 1
O3 O 0.294 0.468 0.816 1
O4 O 0.500 0.173 0.515 1